First-principles (PBE+U) data for a geometry-optimized UCd2MoO6 structure, as listed in Alexandria via LeMat-Bulk.

Output
Density in g/cm3: 7.31
Electronic total energy in eV/atom: -6.690

Geometry as CIF:
```
data_UCd2MoO6
_chemical_formula_sum 'U1 Cd2 Mo1 O6'
_cell_length_a 5.8760
_cell_length_b 5.8760
_cell_length_c 4.3100
_cell_angle_alpha 90.00
_cell_angle_beta 90.00
_cell_angle_gamma 90.00
_symmetry_space_group_name_H-M 'P 1'
_symmetry_Int_Tables_number 1
loop_
_symmetry_equiv_pos_as_xyz
'x,y,z'
loop_
_atom_site_label
_atom_site_type_symbol
_atom_site_fract_x
_atom_site_fract_y
_atom_site_fract_z
U1 U 0.0000 0.0000 0.0000
Cd1 Cd 0.0000 0.5000 0.3568
Cd2 Cd 0.5000 0.0000 0.3568
Mo1 Mo 0.5000 0.5000 0.9086
O1 O 0.0000 0.0000 0.5032
O2 O 0.2594 0.2594 0.0341
O3 O 0.2594 0.7406 0.0341
O4 O 0.5000 0.5000 0.4955
O5 O 0.7406 0.2594 0.0341
O6 O 0.7406 0.7406 0.0341
```

---

First-principles (PBE+U) data for a geometry-optimized UCdMoO6 structure, as listed in Alexandria via LeMat-Bulk.

Output
Density in g/cm3: 7.23
Electronic total energy in eV/atom: -7.624

Geometry as CIF:
```
data_UCdMoO6
_chemical_formula_sum 'U2 Cd2 Mo2 O12'
_cell_length_a 4.9769
_cell_length_b 4.9769
_cell_length_c 10.0573
_cell_angle_alpha 90.00
_cell_angle_beta 90.00
_cell_angle_gamma 90.00
_symmetry_space_group_name_H-M 'P 1'
_symmetry_Int_Tables_number 1
loop_
_symmetry_equiv_pos_as_xyz
'x,y,z'
loop_
_atom_site_label
_atom_site_type_symbol
_atom_site_fract_x
_atom_site_fract_y
_atom_site_fract_z
U1 U 0.0000 0.0000 0.0000
U2 U 0.5000 0.5000 0.5000
Cd1 Cd 0.0000 0.0000 0.6687
Cd2 Cd 0.5000 0.5000 0.1687
Mo1 Mo 0.0000 0.0000 0.3324
Mo2 Mo 0.5000 0.5000 0.8324
O1 O 0.1791 0.1791 0.1699
O2 O 0.2044 0.2044 0.4876
O3 O 0.2107 0.2107 0.8510
O4 O 0.2893 0.7107 0.3510
O5 O 0.2956 0.7044 0.9876
O6 O 0.3209 0.6791 0.6699
O7 O 0.6791 0.3209 0.6699
O8 O 0.7044 0.2956 0.9876
O9 O 0.7107 0.2893 0.3510
O10 O 0.7893 0.7893 0.8510
O11 O 0.7956 0.7956 0.4876
O12 O 0.8209 0.8209 0.1699
```

---

First-principles (PBE+U) data for a geometry-optimized VCd2MoO6 structure, as listed in Alexandria via LeMat-Bulk.

Output
Density in g/cm3: 6.04
Electronic total energy in eV/atom: -5.919

Geometry as CIF:
```
data_VCd2MoO6
_chemical_formula_sum 'V1 Cd2 Mo1 O6'
_cell_length_a 5.5721
_cell_length_b 5.5721
_cell_length_c 4.1443
_cell_angle_alpha 90.00
_cell_angle_beta 90.00
_cell_angle_gamma 90.00
_symmetry_space_group_name_H-M 'P 1'
_symmetry_Int_Tables_number 1
loop_
_symmetry_equiv_pos_as_xyz
'x,y,z'
loop_
_atom_site_label
_atom_site_type_symbol
_atom_site_fract_x
_atom_site_fract_y
_atom_site_fract_z
V1 V 0.0000 0.0000 0.0000
Cd1 Cd 0.0000 0.5000 0.3688
Cd2 Cd 0.5000 0.0000 0.3688
Mo1 Mo 0.5000 0.5000 0.9285
O1 O 0.0000 0.0000 0.5050
O2 O 0.2540 0.2540 0.0256
O3 O 0.2540 0.7460 0.0256
O4 O 0.5000 0.5000 0.4932
O5 O 0.7460 0.2540 0.0256
O6 O 0.7460 0.7460 0.0256
```